Record 1
Entry from Alexandria: a relaxed structure of Cd2FePt (PBE).

abc: 4.0823 2.9186 6.4152
angles: 63.13 90.00 90.00
Site moments in Bohr magnetons follow the coordinates.
Atoms (fractional coordinates):
Cd  0.0000  0.5018  0.4976  -0.03
Cd  0.0000  0.9982  0.0024  -0.03
Pt  0.5000  0.7500  0.7500  0.07
Fe  0.5000  0.2500  0.2500  2.79

=====

Record 2
Entry from Alexandria: a relaxed structure of AcRh3 (PBE).

abc: 4.2167 4.2166 4.2162
angles: 90.00 90.00 90.00
Atoms (fractional coordinates):
Rh  0.0000  0.0000  0.9166
Rh  0.5000  0.5000  0.9167
Rh  0.5000  0.0000  0.4166
Ac  0.0000  0.5000  0.4167

=====

Computed formation energy, in the same sequence as the records: 0.230; -0.799 eV/f.u..
Computed Fermi-level density of states, in the same sequence as the records: 3.8; 3.7 states/eV per cell.
Computed energy, in the same sequence as the records: -16.10; -26.96 eV per cell.